Record 1
Entry from Alexandria: TbPm3Rh3 after structural relaxation (GGA-PBE).

The structure in CIF format:
```
data_TbPm3Rh3
_chemical_formula_sum 'Tb4 Pm12 Rh12'
_space_group_name_H-M_alt 'C 1 2/m 1'
_space_group_IT_number 12
_space_group_name_Hall '-C 2y'
_cell_length_a 9.331
_cell_length_b 10.432
_cell_length_c 7.094
_cell_angle_alpha 90.00
_cell_angle_beta 90.67
_cell_angle_gamma 90.00
loop_
_atom_site_label
_atom_site_fract_x
_atom_site_fract_y
_atom_site_fract_z
_atom_site_occupancy
Tb1 0.244 0.000 0.122 1
Pm1 0.000 0.181 0.500 1
Pm2 0.000 0.251 0.000 1
Pm3 0.171 0.500 0.379 1
Rh1 0.061 0.000 0.803 1
Rh2 0.247 0.253 0.729 1
```

Computed properties:
DOS(E_F) (states/eV/atom): 0.6589
Crystal system: monoclinic
Energy relative to the elements (eV per atom): -0.60

=====

Record 2
Entry from Alexandria: TbPm7Rh4 after structural relaxation (GGA-PBE).

The structure in CIF format:
```
data_TbPm7Rh4
_chemical_formula_sum 'Tb2 Pm14 Rh8'
_space_group_name_H-M_alt 'C 1 2/m 1'
_space_group_IT_number 12
_space_group_name_Hall '-C 2y'
_cell_length_a 13.766
_cell_length_b 5.623
_cell_length_c 10.034
_cell_angle_alpha 90.00
_cell_angle_beta 125.40
_cell_angle_gamma 90.00
loop_
_atom_site_label
_atom_site_fract_x
_atom_site_fract_y
_atom_site_fract_z
_atom_site_occupancy
Tb1 0.000 0.000 0.000 1
Pm1 0.000 0.500 0.000 1
Pm2 0.083 0.000 0.385 1
Pm3 0.171 0.500 0.624 1
Pm4 0.212 0.000 0.877 1
Rh1 0.066 0.500 0.783 1
Rh2 0.197 0.500 0.331 1
```

Computed properties:
DOS(E_F) (states/eV/atom): 0.8677
Crystal system: monoclinic
Energy relative to the elements (eV per atom): -0.29

=====

Record 3
Entry from Alexandria: TbPm2Rh after structural relaxation (GGA-PBE).

The structure in CIF format:
```
data_TbPm2Rh
_chemical_formula_sum 'Tb1 Pm2 Rh1'
_space_group_name_H-M_alt 'P 4/m m m'
_space_group_IT_number 123
_space_group_name_Hall '-P 4 2'
_cell_length_a 3.590
_cell_length_b 3.590
_cell_length_c 8.707
_cell_angle_alpha 90.00
_cell_angle_beta 90.00
_cell_angle_gamma 90.00
loop_
_atom_site_label
_atom_site_fract_x
_atom_site_fract_y
_atom_site_fract_z
_atom_site_occupancy
Tb1 0.000 0.000 0.000 1
Pm1 0.500 0.500 0.309 1
Rh1 0.000 0.000 0.500 1
```

Computed properties:
DOS(E_F) (states/eV/atom): 1.3368
Crystal system: tetragonal
Energy relative to the elements (eV per atom): -0.29

=====

Record 4
Entry from Alexandria: TbPm5Rh6 after structural relaxation (GGA-PBE).

The structure in CIF format:
```
data_TbPm5Rh6
_chemical_formula_sum 'Tb1 Pm5 Rh6'
_space_group_name_H-M_alt 'P 1 2/m 1'
_space_group_IT_number 10
_space_group_name_Hall '-P 2y'
_cell_length_a 4.985
_cell_length_b 6.929
_cell_length_c 7.879
_cell_angle_alpha 90.00
_cell_angle_beta 108.33
_cell_angle_gamma 90.00
loop_
_atom_site_label
_atom_site_fract_x
_atom_site_fract_y
_atom_site_fract_z
_atom_site_occupancy
Tb1 0.000 0.000 0.000 1
Pm1 0.000 0.500 0.000 1
Pm2 0.333 0.500 0.667 1
Pm3 0.334 0.000 0.668 1
Rh1 0.165 0.248 0.329 1
Rh2 0.500 0.245 0.000 1
```

Computed properties:
DOS(E_F) (states/eV/atom): 0.6261
Crystal system: monoclinic
Energy relative to the elements (eV per atom): -0.71

=====

Record 5
Entry from Alexandria: TbPmRh after structural relaxation (GGA-PBE).

The structure in CIF format:
```
data_TbPmRh
_chemical_formula_sum 'Tb4 Pm4 Rh4'
_space_group_name_H-M_alt 'F -4 3 m'
_space_group_IT_number 216
_space_group_name_Hall 'F -4 2 3'
_cell_length_a 6.895
_cell_length_b 6.895
_cell_length_c 6.895
_cell_angle_alpha 90.00
_cell_angle_beta 90.00
_cell_angle_gamma 90.00
loop_
_atom_site_label
_atom_site_fract_x
_atom_site_fract_y
_atom_site_fract_z
_atom_site_occupancy
Tb1 0.000 0.000 0.000 1
Pm1 0.000 0.000 0.500 1
Rh1 0.250 0.250 0.250 1
```

Computed properties:
DOS(E_F) (states/eV/atom): 1.0732
Crystal system: cubic
Energy relative to the elements (eV per atom): -0.52

=====

Record 6
Entry from Alexandria: Tb2Pm5Rh4 after structural relaxation (GGA-PBE).

The structure in CIF format:
```
data_Tb2Pm5Rh4
_chemical_formula_sum 'Tb4 Pm10 Rh8'
_space_group_name_H-M_alt 'C 1 2/m 1'
_space_group_IT_number 12
_space_group_name_Hall '-C 2y'
_cell_length_a 24.377
_cell_length_b 3.700
_cell_length_c 6.930
_cell_angle_alpha 90.00
_cell_angle_beta 93.24
_cell_angle_gamma 90.00
loop_
_atom_site_label
_atom_site_fract_x
_atom_site_fract_y
_atom_site_fract_z
_atom_site_occupancy
Tb1 0.231 0.000 0.211 1
Pm1 0.000 0.500 0.500 1
Pm2 0.086 0.000 0.151 1
Pm3 0.135 0.000 0.679 1
Rh1 0.028 0.000 0.799 1
Rh2 0.169 0.500 0.983 1
```

Computed properties:
DOS(E_F) (states/eV/atom): 0.7212
Crystal system: monoclinic
Energy relative to the elements (eV per atom): -0.37

=====

Record 7
Entry from Alexandria: Tb3PmRh after structural relaxation (GGA-PBE).

The structure in CIF format:
```
data_Tb3PmRh
_chemical_formula_sum 'Tb6 Pm2 Rh2'
_space_group_name_H-M_alt 'P m n 21'
_space_group_IT_number 31
_space_group_name_Hall 'P 2ac -2'
_cell_length_a 7.619
_cell_length_b 6.548
_cell_length_c 6.216
_cell_angle_alpha 90.00
_cell_angle_beta 90.00
_cell_angle_gamma 90.00
loop_
_atom_site_label
_atom_site_fract_x
_atom_site_fract_y
_atom_site_fract_z
_atom_site_occupancy
Tb1 0.000 0.153 0.000 1
Tb2 0.249 0.683 0.009 1
Pm1 0.000 0.852 0.517 1
Rh1 0.000 0.495 0.258 1
```

Computed properties:
DOS(E_F) (states/eV/atom): 1.1832
Crystal system: orthorhombic
Energy relative to the elements (eV per atom): -0.28

=====

Record 8
Entry from Alexandria: TbPm4Rh5 after structural relaxation (GGA-PBE).

The structure in CIF format:
```
data_TbPm4Rh5
_chemical_formula_sum 'Tb1 Pm4 Rh5'
_space_group_name_H-M_alt 'P 4/m m m'
_space_group_IT_number 123
_space_group_name_Hall '-P 4 2'
_cell_length_a 3.482
_cell_length_b 3.482
_cell_length_c 17.739
_cell_angle_alpha 90.00
_cell_angle_beta 90.00
_cell_angle_gamma 90.00
loop_
_atom_site_label
_atom_site_fract_x
_atom_site_fract_y
_atom_site_fract_z
_atom_site_occupancy
Tb1 0.000 0.000 0.000 1
Pm1 0.000 0.000 0.198 1
Pm2 0.000 0.000 0.399 1
Rh1 0.500 0.500 0.095 1
Rh2 0.500 0.500 0.298 1
Rh3 0.500 0.500 0.500 1
```

Computed properties:
DOS(E_F) (states/eV/atom): 0.9303
Crystal system: tetragonal
Energy relative to the elements (eV per atom): -0.71